Crystalline Tb6TcSb2 at its relaxed geometry. Source: the Alexandria database, functional PBE-GGA.

formation energy from raw total energies: -58.1 kJ/mol of atoms
space group: P-62m
magnetic moment: 0.000 μB/atom

Cell lengths 8.2392, 8.2392, 4.2561 Å; angles 90.00, 90.00, 120.00 degrees
Last column: nearest neighbours and their distance in Å.
Element x y z (fractional)
Tb1 0.0000 0.2367 0.0000  2 Tc 2.89, 2 Sb 3.22
Tb2 0.0000 0.6003 0.5000  1 Tc 3.29, 4 Sb 3.30, 6 Tb 3.57-3.67
Tb3 0.2367 0.0000 0.0000  2 Tc 2.89, 2 Sb 3.22
Tb4 0.3997 0.3997 0.5000  1 Tc 3.29, 4 Sb 3.30, 6 Tb 3.57-3.67
Tb5 0.6003 0.0000 0.5000  1 Tc 3.29, 4 Sb 3.30, 6 Tb 3.57-3.67
Tb6 0.7633 0.7633 0.0000  2 Tc 2.89, 2 Sb 3.22
Tc1 0.0000 0.0000 0.5000  6 Tb 2.89
Sb1 0.3333 0.6667 0.0000  9 Tb 3.22-3.30
Sb2 0.6667 0.3333 0.0000  9 Tb 3.22-3.30